! Tl2ReI2Cl4 (PBE-GGA, optimized geometry); values from VASP
&SYSTEM
  ibrav = 0, nat = 9, ntyp = 4
/
ATOMIC_SPECIES
Tl 204.38 Tl.upf
Re 186.21 Re.upf
I 126.90 I.upf
Cl 35.45 Cl.upf
CELL_PARAMETERS angstrom
7.340 0.984 0.670
2.598 7.042 0.379
2.598 2.938 6.411
ATOMIC_POSITIONS crystal
Tl 0.309 0.744 0.744
Tl 0.691 0.256 0.256
Re 0.500 0.000 0.000
I 0.195 0.243 0.243
I 0.805 0.757 0.757
Cl 0.309 0.739 0.198
Cl 0.691 0.802 0.261
Cl 0.691 0.261 0.802
Cl 0.309 0.198 0.739
! Final energy in eV per cell: -33.54
! ρ in Mg/m³: 5.47